# 1
{"formula": "Sc12Bi3C5", "functional": "GGA-PBE", "state": "relaxed", "cell": [[12.900, 0.000, 0.000], [-4.300, 12.162, 0.000], [-4.300, -6.081, 10.533]], "species": ["Sc", "C", "Sc", "Sc", "Sc", "C", "Sc", "Sc", "Sc", "Sc", "Sc", "Sc", "Sc", "Sc", "Sc", "Sc", "Sc", "C", "Sc", "C", "C", "Sc", "Sc", "Sc", "C", "C", "C", "Sc", "C", "Sc", "Sc", "Sc", "C", "Sc", "Sc", "Sc", "Sc", "Bi", "Sc", "Sc", "Sc", "C", "Sc", "Sc", "Sc", "Sc", "Bi", "C", "Bi", "Sc", "Bi", "Bi", "Sc", "Bi", "C", "C", "C", "C", "Bi", "C", "Sc", "Sc", "Bi", "Sc", "Sc", "Sc", "Bi", "C", "Sc", "Bi", "Sc", "Sc", "Sc", "C", "Sc", "Sc", "Bi", "Bi", "C", "Sc"], "frac_coords": [[0.816, 0.902, 0.009], [0.500, 0.500, 0.500], [0.807, 0.491, 0.393], [0.491, 0.684, 0.098], [0.414, 0.307, 0.316], [0.375, 0.125, 0.750], [0.902, 0.086, 0.893], [0.086, 0.902, 0.393], [0.509, 0.316, 0.902], [0.893, 0.307, 0.491], [0.893, 0.586, 0.902], [0.107, 0.693, 0.509], [0.307, 0.414, 0.816], [0.607, 0.009, 0.193], [0.098, 0.914, 0.107], [0.316, 0.807, 0.414], [0.193, 0.684, 0.086], [0.375, 0.250, 0.125], [0.009, 0.402, 0.816], [0.000, 0.000, 0.500], [0.750, 0.625, 0.375], [0.402, 0.393, 0.586], [0.393, 0.402, 0.086], [0.491, 0.807, 0.893], [0.625, 0.750, 0.875], [0.875, 0.250, 0.625], [0.250, 0.375, 0.625], [0.991, 0.598, 0.184], [0.000, 0.500, 0.500], [0.193, 0.509, 0.607], [0.316, 0.509, 0.402], [0.684, 0.491, 0.598], [0.000, 0.500, 0.000], [0.086, 0.184, 0.193], [0.586, 0.893, 0.402], [0.586, 0.693, 0.684], [0.402, 0.009, 0.316], [0.875, 0.750, 0.125], [0.816, 0.914, 0.307], [0.009, 0.607, 0.693], [0.509, 0.193, 0.107], [0.000, 0.000, 0.000], [0.598, 0.607, 0.414], [0.991, 0.393, 0.307], [0.914, 0.816, 0.807], [0.693, 0.107, 0.009], [0.875, 0.125, 0.250], [0.125, 0.750, 0.375], [0.625, 0.250, 0.375], [0.902, 0.816, 0.509], [0.375, 0.750, 0.625], [0.625, 0.375, 0.750], [0.914, 0.098, 0.607], [0.750, 0.875, 0.625], [0.625, 0.875, 0.250], [0.125, 0.375, 0.250], [0.500, 0.000, 0.500], [0.500, 0.000, 0.000], [0.750, 0.375, 0.125], [0.500, 0.500, 0.000], [0.598, 0.991, 0.684], [0.184, 0.098, 0.991], [0.125, 0.875, 0.750], [0.098, 0.184, 0.491], [0.184, 0.086, 0.693], [0.684, 0.193, 0.586], [0.375, 0.625, 0.250], [0.875, 0.625, 0.750], [0.393, 0.991, 0.807], [0.125, 0.250, 0.875], [0.693, 0.586, 0.184], [0.807, 0.316, 0.914], [0.414, 0.107, 0.598], [0.750, 0.125, 0.875], [0.307, 0.893, 0.991], [0.107, 0.414, 0.098], [0.250, 0.625, 0.875], [0.250, 0.125, 0.375], [0.250, 0.875, 0.125], [0.607, 0.598, 0.914]], "spacegroup": "No. 230", "formation_energy_kj_per_mol_atoms": -35.3, "e_tot_ev_per_atom": -7.053}



# 2
{"formula": "Ho2PuMg", "functional": "GGA-PBE", "state": "relaxed", "cell": [[3.606, 0.000, 0.000], [0.000, 5.533, 0.000], [0.000, 0.000, 5.533]], "species": ["Ho", "Mg", "Pu", "Ho"], "frac_coords": [[0.000, 0.500, 0.000], [0.500, 0.000, 0.000], [0.500, 0.500, 0.500], [0.000, 0.000, 0.500]], "spacegroup": "No. 123", "formation_energy_kj_per_mol_atoms": 9.5, "e_tot_ev_per_atom": -6.172}



# 3
{"formula": "Rb3Ge2PbI9", "functional": "GGA-PBE", "state": "relaxed", "cell": [[8.569, 0.000, 0.000], [-4.284, 7.421, 0.000], [0.000, 0.000, 10.711]], "species": ["I", "Pb", "I", "I", "Ge", "I", "I", "I", "Ge", "I", "Rb", "I", "Rb", "Rb", "I"], "frac_coords": [[0.500, 0.500, 0.000], [0.000, 0.000, 0.500], [0.341, 0.170, 0.680], [0.000, 0.500, 0.000], [0.667, 0.333, 0.838], [0.659, 0.830, 0.320], [0.830, 0.659, 0.680], [0.500, 0.000, 0.000], [0.333, 0.667, 0.162], [0.170, 0.830, 0.320], [0.333, 0.667, 0.706], [0.170, 0.341, 0.320], [0.000, 0.000, 0.000], [0.667, 0.333, 0.294], [0.830, 0.170, 0.680]], "spacegroup": "No. 164", "e_tot_ev_per_atom": -2.809}



# 4
{"formula": "LaPrTm", "functional": "GGA-PBE", "state": "relaxed", "cell": [[6.336, 0.415, 0.290], [0.770, 5.939, -1.987], [0.884, -1.431, 6.081]], "species": ["La", "Tm", "La", "Pr", "Tm", "Pr"], "frac_coords": [[0.161, 0.883, 0.087], [0.161, 0.218, 0.753], [0.661, 0.717, 0.256], [0.661, 0.053, 0.921], [0.661, 0.382, 0.591], [0.161, 0.547, 0.423]], "spacegroup": "No. 2", "formation_energy_kj_per_mol_atoms": 2.3, "e_tot_ev_per_atom": -4.702}